# 1
CaLaTe2 after structural relaxation. Source: Alexandria, functional PBE.

**Formation energy (no corrections)**: -88.8 kJ/mol of atoms
**Mass density**: 4.10 g cm⁻³
**Symmetry**: R-3m (166)
**V**: 176 Å³/cell
**Energy above the lowest structure with this stoichiometry**: 15.56 kcal/mol of atoms
**Magnetic moment**: 0.7 Bohr magnetons per cell

a = 9.8168 Å, b = 9.8168 Å, c = 9.8168 Å
α = 27.33°, β = 27.33°, γ = 27.33°
Atoms (fractional coordinates):
La1 0.0000 0.0000 0.0000
Te1 0.8945 0.8945 0.8945
Te2 0.1055 0.1055 0.1055
Ca1 0.5000 0.5000 0.5000



# 2
AcPm2Pb after structural relaxation. Source: Alexandria, functional PBE.

**Mass density**: 9.08 g cm⁻³
**Symmetry**: P4/mmm (123)
**V**: 132 Å³/cell
**Energy above the lowest structure with this stoichiometry**: 0.00 kcal/mol of atoms
**Magnetic moment**: 0.0 Bohr magnetons per cell

a = 5.0064 Å, b = 5.1442 Å, c = 5.1442 Å
α = 90.00°, β = 90.00°, γ = 90.00°
Atoms (fractional coordinates):
Ac1 0.5000 0.0000 0.0000
Pb1 0.5000 0.5000 0.5000
Pm1 0.0000 0.5000 0.0000
Pm2 0.0000 0.0000 0.5000



# 3
Tm5SbP4 after structural relaxation. Source: Alexandria, functional PBE.

**Formation energy (no corrections)**: -141.4 kJ/mol of atoms
**Mass density**: 7.85 g cm⁻³
**Symmetry**: C2/m (12)
**V**: 231 Å³/cell
**Magnetic moment**: 0.0 Bohr magnetons per cell

a = 3.9932 Å, b = 6.9875 Å, c = 9.0272 Å
α = 75.43°, β = 77.22°, γ = 73.40°
Atoms (fractional coordinates):
Tm1 0.7935 0.0980 0.3150
Tm2 0.2065 0.9020 0.6850
Tm3 0.3906 0.3303 0.8884
Tm4 0.0000 0.5000 0.5000
Tm5 0.6094 0.6697 0.1116
P1 0.5976 0.2042 0.6007
P2 0.4024 0.7958 0.3993
P3 0.7974 0.6103 0.7950
P4 0.2026 0.3897 0.2050
Sb1 0.0000 0.0000 0.0000